No. 1
AlPt | PBE-GGA | optimized geometry

The space group is P4/mcc (No. 124) and the conventional cell measures 8.159, 8.159 and 4.626 Å, with angles of 90.00, 90.00 and 90.00 degrees. The asymmetric unit holds Al at (0.092, 0.338, 0.000) and Pt at (0.212, 0.373, 0.500).

As for the formation energy from the elements: -0.67 eV/atom. The total energy comes out at -5.56 eV per atom.

***

No. 2
Al2Pt | PBE-GGA | optimized geometry

The space group is I4/mcm (No. 140) and the conventional cell measures 6.073, 6.073 and 5.336 Å, with angles of 90.00, 90.00 and 90.00 degrees. The asymmetric unit holds Al at (0.159, 0.341, 0.000) and Pt at (0.000, 0.000, 0.250).

As for the formation energy from the elements: -0.70 eV/atom. The total energy comes out at -5.21 eV per atom.

***

No. 3
AlPt3 | PBE-GGA | optimized geometry

The space group is P2/m (No. 10) and the conventional cell measures 2.794, 3.645 and 5.979 Å, with angles of 90.00, 90.21 and 90.00 degrees. The asymmetric unit holds Al at (0.000, 0.000, 0.000), Pt at (0.000, 0.000, 0.500) and Pt at (0.499, 0.500, 0.231).

As for the formation energy from the elements: -0.58 eV/atom. The total energy comes out at -6.05 eV per atom.

***

No. 4
Al5Pt | PBE-GGA | optimized geometry

The space group is P4/mmm (No. 123) and the conventional cell measures 2.870, 2.870 and 11.607 Å, with angles of 90.00, 90.00 and 90.00 degrees. The asymmetric unit holds Al at (0.000, 0.000, 0.000), Al at (0.000, 0.000, 0.349), Al at (0.500, 0.500, 0.174) and Pt at (0.500, 0.500, 0.500).

As for the formation energy from the elements: -0.30 eV/atom. The total energy comes out at -4.43 eV per atom.